Entry 1:
CeSmCdCu | PBE | optimized geometry

Unit cell a=5.2387 b=5.2387 c=5.2387 alpha=60.00 beta=60.00 gamma=60.00
Last column: magnetic moment on the atom in μB.
Atoms (fractional coordinates):
Cu1 0.2500 0.2500 0.2500  0.02
Cd1 0.7500 0.7500 0.7500  0.01
Ce1 0.0000 0.0000 0.0000  0.84
Sm1 0.5000 0.5000 0.5000  0.13

Calculated values
Electronic total energy: -16.002 eV/cell
Size of the total moment: 1.302 μB/cell
Density: 7.62 Mg/m³
Formation enthalpy at 0 K: -0.34 eV per formula unit

Entry 2:
TbCeCdCu | PBE | optimized geometry

Unit cell a=5.1989 b=5.1989 c=5.1989 alpha=60.00 beta=60.00 gamma=60.00
Last column: magnetic moment on the atom in μB.
Atoms (fractional coordinates):
Tb1 0.5000 0.5000 0.5000  0.11
Cd1 0.7500 0.7500 0.7500  0.01
Ce1 0.0000 0.0000 0.0000  0.79
Cu1 0.2500 0.2500 0.2500  0.02

Calculated values
Electronic total energy: -15.962 eV/cell
Size of the total moment: 1.140 μB/cell
Density: 7.94 Mg/m³
Formation enthalpy at 0 K: -0.39 eV per formula unit

> Among the records above, which one has the highest size of the total moment?

CeSmCdCu